{
  "formula": "Pm2MgGa3Pd4",
  "functional": "GGA-PBE",
  "state": "optimized geometry",
  "cell": [[-1.1897, 4.0041, 0.3387], [-0.1609, -0.4004, 4.1685], [10.6857, 3.1148, 0.7117]],
  "species": ["Pm", "Pm", "Mg", "Ga", "Ga", "Ga", "Pd", "Pd", "Pd", "Pd"],
  "fractional_positions": [[0.5000, 0.0000, 0.2410], [0.0000, 0.5000, 0.7590], [0.5000, 0.5000, 0.5000], [0.0000, 0.0000, 0.5000], [0.5000, 0.0000, 0.8706], [0.0000, 0.5000, 0.1294], [0.5000, 0.5000, 0.0000], [0.0000, 0.0000, 0.0000], [0.5000, 0.0000, 0.6445], [0.0000, 0.5000, 0.3555]],
  "sg": "P-4m2 (115)",
  "e_tot_ev_per_atom": -4.863,
  "vol_a3_per_cell": 195.88
}


{
  "formula": "CsRbO2",
  "functional": "GGA-PBE",
  "state": "optimized geometry",
  "cell": [[2.4189, 0.0000, 7.6397], [-1.2095, 2.0949, 7.6397], [-1.2095, -2.0949, 7.6397]],
  "species": ["Cs", "O", "O", "Rb"],
  "fractional_positions": [[0.5000, 0.5000, 0.5000], [0.9106, 0.9106, 0.9106], [0.0894, 0.0894, 0.0894], [0.0000, 0.0000, 0.0000]],
  "formation_energy_uncorrected_kj_per_mol_fu": -97,
  "sg": "R-3m (166)",
  "vol_a3_per_cell": 116.14
}